(1)
Material: Ce6Rh2Au
Method: DFT, PBE
State: optimized geometry

Results
DFT formation energy	-4.41	eV/f.u.
energy	-6.44	eV per atom
energy above the most stable polymorph in this dataset	0	meV/atom
density	9.7	g cm⁻³

Cell and atoms, written as CIF:
```
data_Ce6Rh2Au
_chemical_formula_sum 'Ce12 Rh4 Au2'
_cell_length_a 10.255
_cell_length_b 4.804
_cell_length_c 8.682
_cell_angle_alpha 90.00
_cell_angle_beta 96.99
_cell_angle_gamma 90.00
_symmetry_space_group_name_H-M 'C 1 2/m 1'
_symmetry_Int_Tables_number 12
loop_
_symmetry_equiv_pos_as_xyz
'x,y,z'
'-x,-y,-z'
'-x,y,-z'
'x,-y,z'
'x+1/2,y+1/2,z'
'-x+1/2,-y+1/2,-z'
'-x+1/2,y+1/2,-z'
'x+1/2,-y+1/2,z'
loop_
_atom_site_label
_atom_site_fract_x
_atom_site_fract_y
_atom_site_fract_z
Ce1 0.054 0.000 0.358
Ce2 0.106 0.500 0.681
Ce3 0.194 0.500 0.081
Rh1 0.231 0.500 0.380
Au1 0.000 0.000 0.000
```



(2)
Material: CeSbRhAu
Method: DFT, PBE
State: optimized geometry

Results
energy	-5.73	eV per atom
density	11.0	g cm⁻³
E_form (uncorrected)	-0.56	eV per atom

Cell and atoms, written as CIF:
```
data_CeSbRhAu
_chemical_formula_sum 'Ce4 Sb4 Rh4 Au4'
_cell_length_a 6.969
_cell_length_b 6.969
_cell_length_c 6.969
_cell_angle_alpha 90.00
_cell_angle_beta 90.00
_cell_angle_gamma 90.00
_symmetry_space_group_name_H-M 'F -4 3 m'
_symmetry_Int_Tables_number 216
_symmetry_space_group_name_Hall 'F -4 2 3'
loop_
_atom_site_label
_atom_site_fract_x
_atom_site_fract_y
_atom_site_fract_z
Ce1 0.000 0.000 0.000
Sb1 0.000 0.000 0.500
Rh1 0.250 0.250 0.250
Au1 0.250 0.250 0.750
```



(3)
Material: CeScRhAu
Method: DFT, PBE
State: optimized geometry

Results
DFT formation energy	-2.63	eV/f.u.
energy	-6.38	eV per atom
density	9.6	g cm⁻³

Cell and atoms, written as CIF:
```
data_CeScRhAu
_chemical_formula_sum 'Ce4 Sc4 Rh4 Au4'
_cell_length_a 6.951
_cell_length_b 6.951
_cell_length_c 6.951
_cell_angle_alpha 90.00
_cell_angle_beta 90.00
_cell_angle_gamma 90.00
_symmetry_space_group_name_H-M 'F -4 3 m'
_symmetry_Int_Tables_number 216
_symmetry_space_group_name_Hall 'F -4 2 3'
loop_
_atom_site_label
_atom_site_fract_x
_atom_site_fract_y
_atom_site_fract_z
Ce1 0.000 0.000 0.000
Sc1 0.000 0.000 0.500
Rh1 0.250 0.250 0.250
Au1 0.250 0.250 0.750
```



(4)
Material: Ce3Si6Rh2Au
Method: DFT, PBE
State: optimized geometry

Results
energy	-6.11	eV per atom
density	7.1	g cm⁻³
E_form (uncorrected)	-0.41	eV per atom

Cell and atoms, written as CIF:
```
data_Ce3Si6Rh2Au
_chemical_formula_sum 'Ce3 Si6 Rh2 Au1'
_cell_length_a 5.4463
_cell_length_b 5.4463
_cell_length_c 8.9804
_cell_angle_alpha 90.00
_cell_angle_beta 90.00
_cell_angle_gamma 120.00
_symmetry_space_group_name_H-M 'P -3 m 1'
_symmetry_Int_Tables_number 164
_symmetry_space_group_name_Hall '-P 3 2"'
loop_
_atom_site_label
_atom_site_fract_x
_atom_site_fract_y
_atom_site_fract_z
Ce1 0.0000 0.0000 0.0000
Ce2 0.3333 0.6667 0.5873
Si1 0.1785 0.3570 0.2724
Rh1 0.3333 0.6667 0.0585
Au1 0.0000 0.0000 0.5000
```



Question: What is the formula in the second record?
Answer: CeSbRhAu



Question: Which formula does entry 3 have?
Answer: CeScRhAu